w | SrLa2Y, PBEsol geometry, DFT SCAN; theoretical density = 5.1 g cm⁻³
1.0
8.377 0.000 0.000
0.000 8.377 0.000
0.000 0.000 8.377
Sr La Y
4 8 4
direct
0.000 0.000 0.000
0.000 0.500 0.500
0.500 0.000 0.500
0.500 0.500 0.000
0.000 0.000 0.500
0.000 0.500 0.000
0.250 0.250 0.250
0.250 0.750 0.750
0.500 0.000 0.000
0.500 0.500 0.500
0.750 0.250 0.750
0.750 0.750 0.250
0.250 0.250 0.750
0.250 0.750 0.250
0.750 0.250 0.250
0.750 0.750 0.750

=====

x | SrLa2Y, PBEsol geometry, DFT SCAN; theoretical density = 5.1 g cm⁻³
1.0
3.707 0.000 0.000
0.000 5.039 0.000
0.000 0.000 7.863
Sr La Y
1 2 1
direct
0.000 0.000 0.000
0.500 0.500 0.286
0.500 0.500 0.714
0.000 0.000 0.500

=====

y | SrLa2Y, PBEsol geometry, DFT SCAN; theoretical density = 5.2 g cm⁻³
1.0
3.695 0.000 0.000
-1.847 3.200 0.000
0.000 0.000 36.826
Sr La Y
3 6 3
direct
0.000 0.000 0.000
0.333 0.667 0.667
0.667 0.333 0.333
0.000 0.000 0.244
0.000 0.000 0.756
0.333 0.667 0.423
0.333 0.667 0.910
0.667 0.333 0.090
0.667 0.333 0.577
0.000 0.000 0.500
0.333 0.667 0.167
0.667 0.333 0.833

=====

Relative energies in meV per atom: w 107; x 16; y 0